Entry 1:
Material: Ac4PmPr2Sm
Method: DFT, GGA-PBE
State: optimized geometry

Structure (CIF):
```
data_Ac4PmPr2Sm
_space_group_name_H-M_alt 'P 1'
_space_group_IT_number 1
_space_group_name_Hall 'P 1'
_cell_length_a 5.4710
_cell_length_b 5.5143
_cell_length_c 10.5223
_cell_angle_alpha 90.00
_cell_angle_beta 90.08
_cell_angle_gamma 90.00
loop_
_atom_site_label
_atom_site_type_symbol
_atom_site_fract_x
_atom_site_fract_y
_atom_site_fract_z
Ac1 Ac 0.9995 0.0000 0.2494
Ac2 Ac 0.0005 0.0000 0.7506
Ac3 Ac 0.4998 0.5000 0.2499
Ac4 Ac 0.5002 0.5000 0.7501
Pm1 Pm 0.0000 0.5000 0.5000
Pr1 Pr 0.0000 0.5000 0.0000
Pr2 Pr 0.5000 0.0000 0.5000
Sm1 Sm 0.5000 0.0000 0.0000
```

**Formation enthalpy at 0 K**: 0.03 eV per atom
**Space group**: P2/m, No. 10
**M_tot**: 0.000 μB per formula unit
**DFT total energy**: -4.4075 eV/atom

***

Entry 2:
Material: La2Pm12Er5
Method: DFT, GGA-PBE
State: optimized geometry

Structure (CIF):
```
data_La2Pm12Er5
_space_group_name_H-M_alt 'P 1'
_space_group_IT_number 1
_space_group_name_Hall 'P 1'
_cell_length_a 9.5373
_cell_length_b 9.5373
_cell_length_c 8.0020
_cell_angle_alpha 90.22
_cell_angle_beta 90.22
_cell_angle_gamma 63.47
loop_
_atom_site_label
_atom_site_type_symbol
_atom_site_fract_x
_atom_site_fract_y
_atom_site_fract_z
La1 La 0.2130 0.7870 0.0000
La2 La 0.7870 0.2130 0.0000
Pm1 Pm 0.0388 0.5757 0.2073
Pm2 Pm 0.1640 0.1640 0.1248
Pm3 Pm 0.1678 0.6201 0.6105
Pm4 Pm 0.3799 0.8322 0.3895
Pm5 Pm 0.4243 0.9612 0.7927
Pm6 Pm 0.4485 0.4485 0.2878
Pm7 Pm 0.5515 0.5515 0.7122
Pm8 Pm 0.5757 0.0388 0.2073
Pm9 Pm 0.6201 0.1678 0.6105
Pm10 Pm 0.8322 0.3799 0.3895
Pm11 Pm 0.8360 0.8360 0.8752
Pm12 Pm 0.9612 0.4243 0.7927
Er1 Er 0.0000 0.0000 0.5000
Er2 Er 0.2474 0.2474 0.4915
Er3 Er 0.3528 0.3528 0.9169
Er4 Er 0.6472 0.6472 0.0831
Er5 Er 0.7526 0.7526 0.5085
```

**Offset from the most stable computed form**: 0.000 eV per atom
**Formation enthalpy at 0 K**: 0.13 eV per atom
**Space group**: C2/m, No. 12
**M_tot**: 0.000 μB per formula unit
**DFT total energy**: -4.5942 eV/atom

***

Entry 3:
Material: CdB6Rh12
Method: DFT, GGA-PBE
State: optimized geometry

Structure (CIF):
```
data_CdB6Rh12
_space_group_name_H-M_alt 'P 1'
_space_group_IT_number 1
_space_group_name_Hall 'P 1'
_cell_length_a 6.4979
_cell_length_b 6.4979
_cell_length_c 6.4979
_cell_angle_alpha 104.54
_cell_angle_beta 104.54
_cell_angle_gamma 104.54
loop_
_atom_site_label
_atom_site_type_symbol
_atom_site_fract_x
_atom_site_fract_y
_atom_site_fract_z
Cd1 Cd 0.0000 0.0000 0.0000
B1 B 0.2403 0.2403 0.6775
B2 B 0.2403 0.6775 0.2403
B3 B 0.3225 0.7597 0.7597
B4 B 0.6775 0.2403 0.2403
B5 B 0.7597 0.3225 0.7597
B6 B 0.7597 0.7597 0.3225
Rh1 Rh 0.1333 0.5000 0.8667
Rh2 Rh 0.1333 0.8667 0.5000
Rh3 Rh 0.1839 0.4471 0.4471
Rh4 Rh 0.4471 0.1839 0.4471
Rh5 Rh 0.4471 0.4471 0.1839
Rh6 Rh 0.5000 0.1333 0.8667
Rh7 Rh 0.5000 0.8667 0.1333
Rh8 Rh 0.5529 0.5529 0.8161
Rh9 Rh 0.5529 0.8161 0.5529
Rh10 Rh 0.8161 0.5529 0.5529
Rh11 Rh 0.8667 0.1333 0.5000
Rh12 Rh 0.8667 0.5000 0.1333
```

**Formation enthalpy at 0 K**: -0.18 eV per atom
**Space group**: R-3m, No. 166
**M_tot**: 0.000 μB per formula unit
**DFT total energy**: -6.9822 eV/atom

***

Entry 4:
Material: Zn2TeOs
Method: DFT, GGA-PBE
State: optimized geometry

Structure (CIF):
```
data_Zn2TeOs
_space_group_name_H-M_alt 'P 1'
_space_group_IT_number 1
_space_group_name_Hall 'P 1'
_cell_length_a 7.2281
_cell_length_b 7.2281
_cell_length_c 7.2281
_cell_angle_alpha 130.57
_cell_angle_beta 130.57
_cell_angle_gamma 72.50
loop_
_atom_site_label
_atom_site_type_symbol
_atom_site_fract_x
_atom_site_fract_y
_atom_site_fract_z
Zn1 Zn 0.0999 0.6250 0.9749
Zn2 Zn 0.3750 0.3499 0.4749
Zn3 Zn 0.6501 0.1250 0.0251
Zn4 Zn 0.8750 0.9001 0.5251
Te1 Te 0.2500 0.7500 0.5000
Te2 Te 0.5000 0.5000 0.0000
Os1 Os 0.0000 0.0000 0.0000
Os2 Os 0.7500 0.2500 0.5000
```

**Formation energy from raw total energies**: 4.0 eV/f.u.
**Space group**: I-42d, No. 122
**M_tot**: 2.000 μB per formula unit
**DFT total energy**: -3.2269 eV/atom

***

Entry 5:
Material: HoErThMg
Method: DFT, GGA-PBE
State: optimized geometry

Structure (CIF):
```
data_HoErThMg
_space_group_name_H-M_alt 'P 1'
_space_group_IT_number 1
_space_group_name_Hall 'P 1'
_cell_length_a 5.5022
_cell_length_b 5.5022
_cell_length_c 5.5022
_cell_angle_alpha 60.00
_cell_angle_beta 60.00
_cell_angle_gamma 60.00
loop_
_atom_site_label
_atom_site_type_symbol
_atom_site_fract_x
_atom_site_fract_y
_atom_site_fract_z
Ho1 Ho 0.0000 0.0000 0.0000
Er1 Er 0.7500 0.7500 0.7500
Th1 Th 0.5000 0.5000 0.5000
Mg1 Mg 0.2500 0.2500 0.2500
```

**Offset from the most stable computed form**: 0.139 eV per atom
**Formation enthalpy at 0 K**: 0.10 eV per atom
**Space group**: F-43m, No. 216
**M_tot**: 0.002 μB per formula unit
**DFT total energy**: -4.4393 eV/atom

***

Entry 6:
Material: AcSmInBi
Method: DFT, GGA-PBE
State: optimized geometry

Structure (CIF):
```
data_AcSmInBi
_space_group_name_H-M_alt 'P 1'
_space_group_IT_number 1
_space_group_name_Hall 'P 1'
_cell_length_a 5.7044
_cell_length_b 5.7044
_cell_length_c 5.7044
_cell_angle_alpha 60.00
_cell_angle_beta 60.00
_cell_angle_gamma 60.00
loop_
_atom_site_label
_atom_site_type_symbol
_atom_site_fract_x
_atom_site_fract_y
_atom_site_fract_z
Ac1 Ac 0.0000 0.0000 0.0000
Sm1 Sm 0.5000 0.5000 0.5000
In1 In 0.7500 0.7500 0.7500
Bi1 Bi 0.2500 0.2500 0.2500
```

**Formation enthalpy at 0 K**: -0.48 eV per atom
**Space group**: F-43m, No. 216
**M_tot**: 0.001 μB per formula unit
**DFT total energy**: -4.3410 eV/atom